Entry from the Alexandria database: a relaxed structure of CeSi3Pd10 (PBE).

Lattice parameters (Å, degrees): 8.679 8.679 8.679 60.00 60.00 60.00
Atoms (fractional coordinates):
1 Ce 0.250 0.250 0.250
2 Ce 0.750 0.750 0.750
3 Si 0.236 0.236 0.764
4 Si 0.236 0.764 0.236
5 Si 0.236 0.764 0.764
6 Si 0.764 0.236 0.236
7 Si 0.764 0.236 0.764
8 Si 0.764 0.764 0.236
9 Pd 0.116 0.116 0.116
10 Pd 0.116 0.116 0.651
11 Pd 0.116 0.651 0.116
12 Pd 0.155 0.500 0.500
13 Pd 0.155 0.500 0.845
14 Pd 0.155 0.845 0.500
15 Pd 0.349 0.884 0.884
16 Pd 0.500 0.155 0.500
17 Pd 0.500 0.155 0.845
18 Pd 0.500 0.500 0.155
19 Pd 0.500 0.500 0.845
20 Pd 0.500 0.845 0.155
21 Pd 0.500 0.845 0.500
22 Pd 0.651 0.116 0.116
23 Pd 0.845 0.155 0.500
24 Pd 0.845 0.500 0.155
25 Pd 0.845 0.500 0.500
26 Pd 0.884 0.349 0.884
27 Pd 0.884 0.884 0.349
28 Pd 0.884 0.884 0.884

Output
formation energy without anion corrections	-65	kJ per mole of atoms
M_tot	0.37	μB/f.u.